A plane-wave DFT calculation with GGA-PBE was carried out for Zr2Bi2W after structural relaxation.

Lattice parameters (Å, degrees): 7.269 7.269 4.633 90.00 90.00 90.00
Positions (direct):
Zr 0.349 0.849 0.000
Zr 0.849 0.651 0.000
Zr 0.651 0.151 0.000
Zr 0.151 0.349 0.000
Bi 0.172 0.672 0.500
Bi 0.672 0.828 0.500
Bi 0.828 0.328 0.500
Bi 0.328 0.172 0.500
W 0.000 0.000 0.000
W 0.500 0.500 0.000

Results
DFT formation energy in eV per atom: 0.515
Total moment in μB/f.u.: 0.000
V in Å³ per atom: 24.5
Fermi-level density of states in states/eV per cell: 9.5
Offset from the most stable computed form in eV per atom: 0.000
Space group: P4/mbm (127)